PuZnCu after structural relaxation, computed with PBE.

Computed properties:
DOS(E_F) = 7.5 states/eV per cell
Crystal system = tetragonal
Raw total energy = -37.20 eV per cell

```
PuZnCu
1.0
3.3818 0.0000 0.0000
0.0000 3.3818 0.0000
-1.6909 -1.6909 8.4256
Cu Zn Pu
2 2 2
Cartesian
0.0000 0.0000 1.8738
1.6909 1.6909 6.5519
0.0000 1.6909 0.0000
1.6909 0.0000 0.0000
1.6909 1.6909 3.7722
0.0000 0.0000 4.6535
```

=====

GdLuHf after structural relaxation, computed with PBE.

Computed properties:
DOS(E_F) = 4.4 states/eV per cell
Crystal system = tetragonal
Raw total energy = -28.22 eV per cell

```
GdLuHf
1.0
3.3408 0.0000 0.0000
0.0000 3.3408 0.0000
-1.6704 -1.6704 7.3922
Gd Lu Hf
1 1 1
Cartesian
0.0000 0.0000 4.7783
0.0000 0.0000 0.2013
1.6704 1.6704 2.4125
```